This record from the Alexandria database describes a relaxed structure of La6Pm2Y5. The functional is PBE.

- Final energy: -5.38 eV per atom
- E_form: 0.1077 eV/atom
- Crystal system: orthorhombic

Geometry as extended XYZ:
```
26
Lattice="11.9257 0.0000 0.0000 0.0000 20.9680 0.0000 0.0000 0.0000 3.6895" Properties=species:S:1:pos:R:3 pbc="T T T"
La 0.7116 1.6209 0.0000
La 0.9312 7.6452 0.0000
La 2.0985 13.2240 1.8447
La 3.8644 2.7400 1.8447
La 5.0317 18.1292 0.0000
La 5.2512 12.1049 0.0000
La 6.6745 8.8631 0.0000
La 6.8940 2.8388 0.0000
La 8.0613 18.2280 1.8447
La 9.8272 7.7440 1.8447
La 10.9945 13.3228 0.0000
La 11.2140 19.3472 0.0000
Pm 1.9915 16.4941 0.0000
Pm 3.9713 6.0101 0.0000
Pm 7.9544 14.9579 0.0000
Pm 9.9342 4.4739 0.0000
Y 0.0000 10.4840 1.8447
Y 1.1065 4.6889 1.8447
Y 2.3951 19.7456 1.8447
Y 3.5677 9.2616 1.8447
Y 4.8563 15.1729 1.8447
Y 5.9628 0.0000 1.8447
Y 7.0693 5.7951 1.8447
Y 8.3580 11.7064 1.8447
Y 9.5305 1.2224 1.8447
Y 10.8192 16.2791 1.8447
```